DyMnCr after structural relaxation, computed with PBE.

a = 5.4042 Å, b = 5.4042 Å, c = 36.2351 Å
α = 90.00°, β = 90.00°, γ = 120.00°
Space group R-3m (No. 166, hexagonal axes)
Asymmetric unit:
Dy 0.0000 0.0000 0.0429 (multiplicity 6)
Dy 0.0000 0.0000 0.1797 (multiplicity 6)
Dy 0.0000 0.0000 0.2632 (multiplicity 6)
Mn 0.0041 0.5020 0.2217 (multiplicity 18)
Cr 0.0000 0.0000 0.3903 (multiplicity 6)
Cr 0.0000 0.0000 0.5000 (multiplicity 3)
Cr 0.0000 0.5000 0.0000 (multiplicity 9)

Values from the calculation:
N(E_F) in states/eV per cell: 60.11
Volume in Å³/cell: 916.49
ΔE_f in eV per atom: 0.182

DyMn2CrN4 after structural relaxation, computed with PBE.

a = 3.1424 Å, b = 10.8470 Å, c = 10.0495 Å
α = 90.00°, β = 90.00°, γ = 90.00°
Space group Cmcm (No. 63)
Asymmetric unit:
Dy 0.0000 0.0884 0.2500 (multiplicity 4)
Mn 0.0000 0.3758 0.0437 (multiplicity 8)
Cr 0.0000 0.1747 0.7500 (multiplicity 4)
N 0.0000 0.0000 0.0000 (multiplicity 4)
N 0.0000 0.2766 0.6144 (multiplicity 8)
N 0.0000 0.4290 0.2500 (multiplicity 4)

Values from the calculation:
N(E_F) in states/eV per cell: 13.32
Volume in Å³/cell: 342.55

What are the raw total energy values for these records? In order: -7.617, -8.753 eV/atom.